Compound: HfRu2F
Source: Alexandria via LeMat-Bulk
Functional: PBE
Structure: relaxed

Structure (POSCAR):
```
HfRu2F
1.0
7.3500 0.0000 0.0000
0.0000 7.3500 0.0000
3.6750 3.6750 2.2897
Ru Hf F
4 2 2
Direct
0.5704 0.1250 0.2500 Ru
0.1796 0.6250 0.2500 Ru
0.3750 0.4296 0.7500 Ru
0.8750 0.8204 0.7500 Ru
0.0000 0.0000 0.0000 Hf
0.7500 0.2500 0.5000 Hf
0.5000 0.5000 0.0000 F
0.2500 0.7500 0.5000 F
```

Results
E: -7.767 eV/atom
Formation energy without anion corrections: -173 meV per atom
ρ: 10.730 g cm⁻³
Energy above the lowest structure with this stoichiometry: 0 meV per atom